Here is an optimized crystal structure of TaAlCd2 from the Alexandria database. Energies are from PBE.

a b c (Å): 5.8807 5.8807 5.8807
angles (deg): 151.19 126.55 61.85
Fractional coordinates of all 4 atoms:
1 Ta 0.0000 0.0000 0.0000
2 Al 0.2295 0.7295 0.5000
3 Cd 0.4790 0.4790 0.0000
4 Cd 0.7393 0.2393 0.5000

- Electronic total energy: -4.07 eV per atom
- N(E_F): 1.94 states/eV/f.u.
- Formation enthalpy at 0 K: 289 meV/atom

---

Here is an optimized crystal structure of Ca2AcLa3Te6 from the Alexandria database. Energies are from PBE.

a b c (Å): 7.9197 7.9197 7.9982
angles (deg): 99.53 99.53 120.02
Fractional coordinates of all 12 atoms:
1 Ca 0.1682 0.8318 0.0000
2 Ca 0.8318 0.1682 0.0000
3 Ac 0.5000 0.5000 0.0000
4 La 0.0000 0.0000 0.5000
5 La 0.3381 0.6619 0.5000
6 La 0.6619 0.3381 0.5000
7 Te 0.0724 0.4174 0.7525
8 Te 0.2349 0.2349 0.2427
9 Te 0.4174 0.0724 0.7525
10 Te 0.5826 0.9276 0.2475
11 Te 0.7651 0.7651 0.7573
12 Te 0.9276 0.5826 0.2475

- Electronic total energy: -5.04 eV per atom
- N(E_F): 7.41 states/eV/f.u.
- ΔE_f (raw): -1.5652 eV/atom